# Tm3ZrPa2N6

A relaxed structure of Tm3ZrPa2N6 (PBE-GGA, Alexandria).

```
12
Lattice="5.9109 -0.0042 0.0058 -2.9576 5.1177 0.0058 -0.9807 -1.6980 5.5858" Properties=species:S:1:pos:R:3 pbc="T T T"
Tm 0.9863 1.7077 2.7987
Tm -1.9949 3.4294 2.7987
Tm 3.9674 -0.0140 2.7987
Pa 2.9535 1.7037 0.0058
Pa -0.0003 3.4097 0.0058
N 2.9643 1.6973 4.2333
N 0.0056 0.0096 4.1982
N 1.9670 3.4058 1.3993
N 1.9838 -0.0003 1.3642
N -0.9917 1.7182 1.3642
N -0.0113 3.4158 4.2333
Zr 0.0000 0.0000 0.0000
```

## Properties
VASP energy   -111.63 eV for the cell shown
Total magnetic moment   0.0 μB/f.u.
Formation energy from raw total energies   -1.7273 eV/atom

---

# Rb2ErOs3O12

A relaxed structure of Rb2ErOs3O12 (PBE-GGA, Alexandria).

```
18
Lattice="7.5264 0.1393 0.0988 3.8381 6.4758 0.0988 3.8381 2.2341 6.0790" Properties=species:S:1:pos:R:3 pbc="T T T"
O 3.3428 1.9458 3.9306
O 5.4359 0.7570 0.5370
O 8.1962 4.7708 0.5968
O 7.0065 6.7088 1.9714
O 7.0065 4.0784 5.6799
O 8.1962 2.1404 4.3053
O 9.7668 8.0922 5.7397
O 5.9089 6.0699 4.3053
O 11.8599 4.4964 5.7397
O 11.8599 6.9034 2.3461
O 3.3428 4.3529 0.5370
O 9.2938 2.7793 1.9714
Os 1.9191 1.1171 3.0395
Os 1.9191 3.2379 0.0494
Os 3.7632 0.0697 0.0494
Rb 5.7782 3.3634 2.3856
Rb 9.4245 5.4858 3.8910
Er 0.0000 0.0000 0.0000
```

## Properties
VASP energy   -126.79 eV for the cell shown
Total magnetic moment   2.2 μB/f.u.
Formation energy from raw total energies   -1.5055 eV/atom